1) Computed, not measured: CsCdPd after structural relaxation at the PBE level of DFT.

Results
SG: F-43m, No. 216

Cell and atoms, written as POSCAR:
```
CsCdPd
1.0
0.794 -4.358 -3.081
-2.079 -4.758 1.469
-4.108 -2.123 -2.780
Cd Cs Pd
1 1 1
Cartesian
0.000 0.000 0.000
-1.348 -2.810 -1.098
-4.045 -8.429 -3.294
```



2) Computed, not measured: CsCdPd after structural relaxation at the PBE level of DFT.

Results
SG: F-43m, No. 216

Cell and atoms, written as POSCAR:
```
CsCdPd
1.0
-3.912 -3.077 -2.799
-5.536 1.325 0.455
-2.768 2.269 -4.450
Cd Cs Pd
1 1 1
Cartesian
-3.054 0.129 -1.698
0.000 0.000 0.000
-9.162 0.388 -5.095
```



Of them, the most stable is 1) and the least stable is 2).



1) Computed, not measured: CsPuCd after structural relaxation at the PBE level of DFT.

Results
SG: F-43m, No. 216

Cell and atoms, written as POSCAR:
```
CsPuCd
1.0
0.000 4.059 4.059
4.059 0.000 4.059
4.059 4.059 0.000
Cd Cs Pu
1 1 1
Cartesian
0.000 0.000 0.000
4.059 4.059 4.059
2.029 2.029 2.029
```



2) Computed, not measured: CsPuCd after structural relaxation at the PBE level of DFT.

Results
SG: F-43m, No. 216

Cell and atoms, written as POSCAR:
```
CsPuCd
1.0
2.861 1.652 4.673
-2.861 1.652 4.673
0.000 -3.304 4.673
Cd Cs Pu
1 1 1
Cartesian
0.000 0.000 10.513
0.000 0.000 0.000
0.000 0.000 3.504
```



Of them, the most stable is 1) and the least stable is 2).



1) Computed, not measured: CsRbCd after structural relaxation at the PBE level of DFT.

Results
SG: F-43m, No. 216

Cell and atoms, written as POSCAR:
```
CsRbCd
1.0
-0.176 -6.142 -2.348
-5.045 -3.948 1.492
-4.383 -1.628 -4.627
Cd Cs Rb
1 1 1
Cartesian
-2.401 -2.929 -1.371
-7.203 -8.788 -4.112
0.000 0.000 0.000
```



2) Computed, not measured: CsRbCd after structural relaxation at the PBE level of DFT.

Results
SG: F-43m, No. 216

Cell and atoms, written as POSCAR:
```
CsRbCd
1.0
0.000 4.679 4.679
4.679 0.000 4.679
4.679 4.679 0.000
Cd Cs Rb
1 1 1
Cartesian
2.339 2.339 2.339
0.000 0.000 0.000
7.018 7.018 7.018
```



Of them, the most stable is 1) and the least stable is 2).



1) Computed, not measured: CsSrCd after structural relaxation at the PBE level of DFT.

Results
SG: F-43m, No. 216

Cell and atoms, written as POSCAR:
```
CsSrCd
1.0
0.000 4.350 4.350
4.350 0.000 4.350
4.350 4.350 0.000
Cd Cs Sr
1 1 1
Cartesian
2.175 2.175 2.175
6.525 6.525 6.525
0.000 0.000 0.000
```



2) Computed, not measured: CsSrCd after structural relaxation at the PBE level of DFT.

Results
SG: F-43m, No. 216

Cell and atoms, written as POSCAR:
```
CsSrCd
1.0
-1.426 -3.976 4.671
-4.386 1.566 4.240
-5.556 -2.965 0.025
Cd Cs Sr
1 1 1
Cartesian
-2.842 -1.344 2.234
0.000 0.000 0.000
-8.526 -4.032 6.703
```



Of them, the most stable is 1) and the least stable is 2).



1) Computed, not measured: CsCdTe after structural relaxation at the PBE level of DFT.

Results
SG: F-43m, No. 216

Cell and atoms, written as POSCAR:
```
CsCdTe
1.0
-1.932 -5.405 -1.193
-5.758 -1.099 -0.102
-2.686 -1.095 -5.095
Cd Cs Te
1 1 1
Cartesian
-2.594 -1.900 -1.598
-7.782 -5.699 -4.793
0.000 0.000 0.000
```



2) Computed, not measured: CsCdTe after structural relaxation at the PBE level of DFT.

Results
SG: F-43m, No. 216

Cell and atoms, written as POSCAR:
```
CsCdTe
1.0
0.000 4.238 4.238
4.238 0.000 4.238
4.238 4.238 0.000
Cd Cs Te
1 1 1
Cartesian
2.119 2.119 2.119
0.000 0.000 0.000
6.357 6.357 6.357
```



Of them, the most stable is 1) and the least stable is 2).



1) Computed, not measured: CsTlCd after structural relaxation at the PBE level of DFT.

Results
SG: F-43m, No. 216

Cell and atoms, written as POSCAR:
```
CsTlCd
1.0
0.000 4.147 4.147
4.147 0.000 4.147
4.147 4.147 0.000
Cd Cs Tl
1 1 1
Cartesian
0.000 0.000 0.000
2.074 2.074 2.074
6.221 6.221 6.221
```



2) Computed, not measured: CsTlCd after structural relaxation at the PBE level of DFT.

Results
SG: F-43m, No. 216

Cell and atoms, written as POSCAR:
```
CsTlCd
1.0
-1.274 1.651 5.676
-2.102 5.555 1.133
-5.750 0.767 1.707
Cd Cs Tl
1 1 1
Cartesian
-2.282 1.993 2.129
0.000 0.000 0.000
-6.845 5.980 6.387
```



Of them, the most stable is 1) and the least stable is 2).



1) Computed, not measured: CdCu9 after structural relaxation at the PBE level of DFT.

Results
SG: Pmmn, No. 59

Cell and atoms, written as POSCAR:
```
CdCu9
1.0
2.617 0.000 0.000
0.000 3.425 0.000
0.000 0.000 33.410
Cd Cu
2 18
Cartesian
0.000 0.000 3.723
1.309 1.713 29.687
1.309 1.713 5.557
0.000 0.000 6.880
1.309 1.713 8.186
0.000 0.000 9.495
1.309 1.713 10.797
0.000 0.000 12.099
1.309 1.713 13.410
0.000 0.000 14.717
1.309 1.713 16.045
0.000 0.000 17.365
1.309 1.713 18.692
0.000 0.000 20.000
1.309 1.713 21.311
0.000 0.000 22.612
1.309 1.713 23.915
0.000 0.000 25.224
1.309 1.713 26.530
0.000 0.000 27.853
```



2) Computed, not measured: CdCu9 after structural relaxation at the PBE level of DFT.

Results
SG: P4/nmm, No. 129

Cell and atoms, written as POSCAR:
```
CdCu9
1.0
-1.026 -0.059 -2.372
1.582 -1.943 -0.636
-28.675 -27.626 13.092
Cd Cu
2 18
Cartesian
-1.643 -3.316 0.793
-26.754 -25.311 10.795
-4.522 -3.892 0.645
-4.431 -6.002 2.066
-6.955 -6.236 1.755
-6.870 -8.351 3.179
-9.393 -8.585 2.868
-9.303 -10.696 4.291
-11.819 -10.922 3.976
-11.729 -13.033 5.398
-14.244 -13.258 5.083
-14.153 -15.369 6.505
-16.669 -15.594 6.190
-16.579 -17.705 7.612
-19.094 -17.931 7.297
-19.004 -20.042 8.720
-21.528 -20.276 8.408
-21.442 -22.391 9.832
-23.966 -22.625 9.522
-23.876 -24.735 10.943
```



Of them, the most stable is 1) and the least stable is 2).



1) Computed, not measured: CdCu15 after structural relaxation at the PBE level of DFT.

Results
SG: Pccm, No. 49

Cell and atoms, written as POSCAR:
```
CdCu15
1.0
-6.287 -3.586 0.275
11.296 -17.016 36.289
-1.510 2.783 1.775
Cd Cu
4 60
Cartesian
1.620 -6.975 12.314
3.389 -13.628 24.250
-1.055 -6.679 13.286
4.554 -11.141 25.053
-0.545 -0.811 0.808
-3.689 -2.604 0.946
-4.779 -4.227 2.564
-1.634 -2.434 2.427
-2.725 -4.059 4.047
0.422 -2.265 3.910
-0.667 -3.889 5.531
-3.812 -5.688 5.676
-1.751 -5.516 7.159
1.386 -3.731 7.030
-2.829 -7.142 8.792
0.292 -5.372 8.671
2.319 -5.198 10.122
-0.747 -6.999 10.339
-1.983 -8.648 11.873
6.992 -11.955 24.692
5.755 -13.604 26.225
2.690 -15.405 26.442
4.717 -15.231 27.894
7.838 -13.461 27.773
3.622 -16.871 29.535
6.760 -15.087 29.406
8.820 -14.915 30.888
5.676 -16.713 31.033
4.587 -18.338 32.654
7.734 -16.543 32.518
6.643 -18.168 34.137
9.787 -16.375 34.000
8.697 -17.998 35.618
5.554 -19.791 35.756
-6.015 -2.109 1.902
-2.872 -0.316 1.765
-0.817 -0.146 3.245
-3.961 -1.940 3.383
-1.905 -1.769 4.865
-5.051 -3.565 5.004
-2.996 -3.396 6.488
0.153 -1.604 6.357
-0.941 -3.232 7.978
-4.074 -5.024 8.123
1.110 -3.073 9.473
-2.001 -4.857 9.626
-3.082 -6.456 11.213
0.035 -4.731 11.159
2.179 -4.451 12.545
1.319 -13.368 25.795
3.464 -13.088 27.180
6.580 -11.364 27.126
5.500 -12.962 28.714
2.389 -14.747 28.866
7.573 -12.796 30.216
4.440 -14.588 30.362
3.346 -16.215 31.983
6.495 -14.424 31.852
8.550 -14.255 33.335
5.404 -16.050 33.474
7.460 -15.880 34.956
4.316 -17.674 35.094
6.371 -17.503 36.574
9.514 -15.710 36.437
```



2) Computed, not measured: CdCu15 after structural relaxation at the PBE level of DFT.

Results
SG: P2_1/m, No. 11

Cell and atoms, written as POSCAR:
```
CdCu15
1.0
-1.012 2.005 -6.716
-1.396 -2.139 -0.428
-28.026 16.461 9.145
Cd Cu
2 30
Cartesian
-7.522 3.434 -4.381
-22.912 12.893 6.381
-7.498 2.713 -0.855
-8.039 4.867 -2.019
-7.534 3.858 1.373
-9.572 3.932 -0.182
-10.083 4.937 -3.538
-10.186 6.124 -1.301
-9.681 5.123 2.057
-11.702 5.183 0.512
-12.216 6.189 -2.842
-12.324 7.380 -0.603
-11.821 6.380 2.754
-13.839 6.438 1.210
-14.347 7.442 -2.147
-14.458 8.635 0.089
-13.957 7.633 3.456
-16.478 8.694 -1.455
-15.976 7.692 1.911
-16.087 8.886 4.147
-16.595 9.889 0.790
-18.613 9.947 -0.753
-18.110 8.947 2.603
-18.218 10.138 4.842
-18.732 11.144 1.488
-20.753 11.204 -0.057
-20.248 10.203 3.302
-20.351 11.390 5.538
-20.862 12.395 2.182
-22.900 12.469 0.627
-22.395 11.460 4.019
-22.936 13.614 2.855
```



3) Computed, not measured: CdCu15 after structural relaxation at the PBE level of DFT.

Results
SG: P2/c, No. 13

Cell and atoms, written as POSCAR:
```
CdCu15
1.0
-0.807 -3.854 -1.905
28.139 1.834 -15.635
2.129 -0.784 3.740
Cd Cu
2 30
Cartesian
5.285 0.345 -2.937
23.918 1.098 -10.828
6.363 -1.486 -4.712
7.920 0.516 -4.401
8.617 -1.339 -5.964
10.155 0.662 -5.643
10.863 -1.193 -7.213
12.393 0.808 -6.886
13.107 -1.046 -8.460
14.634 0.954 -8.132
15.344 -0.901 -9.703
16.877 1.100 -9.378
17.582 -0.755 -10.946
19.118 1.246 -10.623
19.817 -0.609 -12.188
21.370 1.393 -11.874
22.011 -0.466 -13.407
6.385 -1.946 -2.262
7.833 0.049 -1.891
8.579 -1.803 -3.482
10.085 0.196 -3.142
10.815 -1.657 -4.724
12.327 0.342 -4.388
13.052 -1.512 -5.967
14.569 0.488 -5.634
15.289 -1.366 -7.210
16.811 0.634 -6.879
17.534 -1.219 -8.457
19.048 0.780 -8.122
19.779 -1.073 -9.705
21.283 0.926 -9.364
22.033 -0.926 -10.957
```



4) Computed, not measured: CdCu15 after structural relaxation at the PBE level of DFT.

Results
SG: P2_1/m, No. 11

Cell and atoms, written as POSCAR:
```
CdCu15
1.0
-0.742 5.034 0.441
-2.093 -0.434 1.429
23.422 0.434 34.443
Cd Cu
2 30
Cartesian
1.834 2.892 7.035
18.753 2.142 29.278
2.549 0.382 7.320
4.024 4.387 8.383
4.394 1.881 8.164
4.164 2.936 10.461
4.545 0.419 10.254
6.407 1.915 11.124
6.036 4.428 11.344
6.543 0.456 13.192
6.180 2.973 13.425
8.404 1.948 14.059
8.032 4.469 14.280
8.543 0.493 16.135
8.172 3.009 16.355
10.036 4.504 17.226
10.408 1.987 17.006
10.179 3.047 19.307
10.551 0.530 19.087
12.415 2.024 19.958
12.044 4.541 20.178
12.555 0.565 22.032
12.183 3.086 22.254
14.407 2.061 22.888
14.045 4.578 23.121
14.551 0.606 24.969
14.180 3.119 25.189
16.043 4.615 26.059
16.424 2.098 25.852
16.194 3.153 28.149
16.563 0.647 27.930
18.038 4.652 28.993
```



Of them, the most stable is 1) and the least stable is 2).